Below is a relaxed YSiPt2 crystal, with properties calculated at the PBE level.

Lattice parameters (Å, degrees): 4.3578 6.0615 6.1069 90.00 90.00 90.00
Space group Pmc2_1 (No. 26)
Inequivalent atoms, fractional coordinates:
Y (0.0000, 0.2106, 0.0000) x2
Si (0.5000, 0.3008, 0.3755) x2
Pt (0.0000, 0.3292, 0.5213) x2
Pt (0.5000, 0.0559, 0.6926) x2

total magnetic moment	0.008	Bohr magnetons per cell
total energy	-6.88	eV per atom